Entry 1:
This record from Alexandria via LeMat-Bulk describes a geometry-optimized SrAcCdHg2 structure. The functional is GGA-PBE.

Lattice parameters (Å, degrees): 4.8527 4.8527 8.5898 90.00 90.00 120.00
Space group P3m1 (No. 156)
One atom of each set of equivalent atoms:
Sr 0.0000 0.0000 0.0000 [1 per cell]
Ac 0.6667 0.3333 0.4261 [1 per cell]
Cd 0.3333 0.6667 0.6796 [1 per cell]
Hg 0.3333 0.6667 0.2192 [1 per cell]
Hg 0.6667 0.3333 0.8057 [1 per cell]

Output
Total magnetic moment ... 0.00 μB/atom
E ... -8.9 eV per cell
ΔE_f ... -0.315 eV per atom

Entry 2:
This record from Alexandria via LeMat-Bulk describes a geometry-optimized SiAsP2 structure. The functional is GGA-PBE.

Lattice parameters (Å, degrees): 10.545 3.321 4.501 90.00 99.82 90.00
Space group C2/m (No. 12)
One atom of each set of equivalent atoms:
Si 0.000 0.000 0.000 [2 per cell]
As 0.000 0.500 0.500 [2 per cell]
P 0.172 0.500 0.989 [4 per cell]

Output
Total magnetic moment ... 0.00 μB/atom
E ... -38.3 eV per cell
Offset from the most stable computed form ... 0.340 eV per atom

Entry 3:
This record from Alexandria via LeMat-Bulk describes a geometry-optimized CaLuAu structure. The functional is GGA-PBE.

Lattice parameters (Å, degrees): 7.019 7.019 7.019 90.00 90.00 90.00
Space group F-43m (No. 216)
One atom of each set of equivalent atoms:
Ca 0.000 0.000 0.000 [4 per cell]
Lu 0.000 0.000 0.500 [4 per cell]
Au 0.250 0.250 0.750 [4 per cell]

Output
Total magnetic moment ... 0.00 μB/atom
E ... -44.5 eV per cell
ΔE_f ... -0.439 eV per atom

Entry 4:
This record from Alexandria via LeMat-Bulk describes a geometry-optimized AgHg2Br structure. The functional is GGA-PBE.

Lattice parameters (Å, degrees): 4.920 3.934 6.513 90.00 108.07 90.00
Space group Pm (No. 6)
One atom of each set of equivalent atoms:
Ag 0.000 0.000 0.000 [1 per cell]
Hg 0.415 0.000 0.432 [1 per cell]
Hg 0.747 0.500 0.209 [1 per cell]
Br 0.123 0.500 0.759 [1 per cell]

Output
Total magnetic moment ... 0.00 μB/atom
E ... -5.6 eV per cell
Offset from the most stable computed form ... 0.026 eV per atom

Entry 5:
This record from Alexandria via LeMat-Bulk describes a geometry-optimized Pr12Dy5Tm2 structure. The functional is GGA-PBE.

Lattice parameters (Å, degrees): 15.194 10.750 8.156 90.00 94.38 90.00
Space group C2/m (No. 12)
One atom of each set of equivalent atoms:
Pr 0.056 0.000 0.213 [4 per cell]
Pr 0.107 0.228 0.884 [8 per cell]
Pr 0.128 0.500 0.603 [4 per cell]
Pr 0.183 0.277 0.292 [8 per cell]
Dy 0.000 0.500 0.000 [2 per cell]
Dy 0.156 0.000 0.598 [4 per cell]
Dy 0.241 0.500 0.988 [4 per cell]
Tm 0.000 0.227 0.500 [4 per cell]

Output
Total magnetic moment ... 0.00 μB/atom
E ... -173.8 eV per cell
Offset from the most stable computed form ... 0.029 eV per atom
ΔE_f ... 0.127 eV per atom

Entry 6:
This record from Alexandria via LeMat-Bulk describes a geometry-optimized La3PbN structure. The functional is GGA-PBE.

Lattice parameters (Å, degrees): 5.5364 5.5364 10.1240 90.00 90.00 120.00
Space group P6_3/mmc (No. 194)
One atom of each set of equivalent atoms:
La 0.0000 0.0000 0.2500 [2 per cell]
La 0.3333 0.6667 0.0698 [4 per cell]
Pb 0.3333 0.6667 0.7500 [2 per cell]
N 0.0000 0.0000 0.0000 [2 per cell]

Output
Total magnetic moment ... 0.40 μB/atom
E ... -57.5 eV per cell

Entry 7:
This record from Alexandria via LeMat-Bulk describes a geometry-optimized MnAsP2Cl structure. The functional is GGA-PBE.

Lattice parameters (Å, degrees): 4.751 4.751 4.909 90.00 90.00 90.00
Space group P4/mmm (No. 123)
One atom of each set of equivalent atoms:
Mn 0.000 0.000 0.000 [1 per cell]
As 0.500 0.500 0.500 [1 per cell]
P 0.000 0.500 0.500 [2 per cell]
Cl 0.500 0.500 0.000 [1 per cell]

Output
Total magnetic moment ... 0.93 μB/atom
E ... -22.5 eV per cell
Offset from the most stable computed form ... 0.281 eV per atom

Entry 8:
This record from Alexandria via LeMat-Bulk describes a geometry-optimized LiBrN3 structure. The functional is GGA-PBE.

Lattice parameters (Å, degrees): 3.889 3.889 3.889 90.00 90.00 90.00
Space group Pm-3m (No. 221)
One atom of each set of equivalent atoms:
Li 0.000 0.000 0.000 [1 per cell]
Br 0.500 0.500 0.500 [1 per cell]
N 0.000 0.000 0.500 [3 per cell]

Output
Total magnetic moment ... 1.00 μB/atom
E ... -15.5 eV per cell